{"formula": "NdErPt2", "functional": "PBE", "state": "optimized geometry", "polymorph_energy_kj_per_mol_atoms": 10.8, "crystal_system": "trigonal", "energy_ev_per_atom": -6.46, "lattice_angstrom": [[2.062, 1.190, 6.699], [-2.062, 1.190, 6.699], [0.000, -2.381, 6.699]], "species": ["Nd", "Er", "Pt", "Pt"], "fractional_positions": [[0.000, 0.000, 0.000], [0.500, 0.500, 0.500], [0.245, 0.245, 0.245], [0.755, 0.755, 0.755]]}

=====

{"formula": "NdEr2Pt", "functional": "PBE", "state": "optimized geometry", "polymorph_energy_kj_per_mol_atoms": 0.0, "crystal_system": "orthorhombic", "energy_ev_per_atom": -5.68, "lattice_angstrom": [[7.136, 0.000, 0.000], [0.000, 9.571, 0.000], [0.000, 0.000, 6.536]], "species": ["Nd", "Nd", "Nd", "Nd", "Er", "Er", "Er", "Er", "Er", "Er", "Er", "Er", "Pt", "Pt", "Pt", "Pt"], "fractional_positions": [[0.021, 0.250, 0.133], [0.479, 0.750, 0.633], [0.521, 0.250, 0.367], [0.979, 0.750, 0.867], [0.177, 0.063, 0.673], [0.177, 0.437, 0.673], [0.323, 0.563, 0.173], [0.323, 0.937, 0.173], [0.677, 0.063, 0.827], [0.677, 0.437, 0.827], [0.823, 0.563, 0.327], [0.823, 0.937, 0.327], [0.115, 0.750, 0.429], [0.385, 0.250, 0.929], [0.615, 0.750, 0.071], [0.885, 0.250, 0.571]]}

=====

{"formula": "NdErPt2", "functional": "PBE", "state": "optimized geometry", "polymorph_energy_kj_per_mol_atoms": 0.0, "crystal_system": "monoclinic", "energy_ev_per_atom": -6.57, "lattice_angstrom": [[3.828, 0.000, 0.000], [0.000, 4.516, 0.000], [-1.921, 0.000, 5.343]], "species": ["Nd", "Er", "Pt", "Pt"], "fractional_positions": [[0.000, 0.000, 0.000], [0.725, 0.500, 0.450], [0.272, 0.000, 0.544], [0.447, 0.500, 0.895]]}

=====

{"formula": "NdEr3Pt", "functional": "PBE", "state": "optimized geometry", "polymorph_energy_kj_per_mol_atoms": 0.0, "crystal_system": "hexagonal", "energy_ev_per_atom": -5.31, "lattice_angstrom": [[7.557, 0.000, 0.000], [-3.779, 6.545, 0.000], [0.000, 0.000, 6.091]], "species": ["Nd", "Nd", "Er", "Er", "Er", "Er", "Er", "Er", "Pt", "Pt"], "fractional_positions": [[0.333, 0.667, 0.250], [0.667, 0.333, 0.750], [0.180, 0.359, 0.750], [0.180, 0.820, 0.750], [0.359, 0.180, 0.250], [0.641, 0.820, 0.750], [0.820, 0.180, 0.250], [0.820, 0.641, 0.250], [0.000, 0.000, 0.000], [0.000, 0.000, 0.500]]}

=====

We obtain magnetic moment values of 0.00; 0.00; 0.00; 0.00 μB per atom for the records listed above, in that order.